[1]
Computed, not measured: an optimized crystal structure of Sr3NbCd at the PBE level of DFT.

Structure (CIF):
```
data_Sr3NbCd
_chemical_formula_sum 'Sr3 Nb1 Cd1'
_symmetry_space_group_name_H-M 'P 1'
_symmetry_Int_Tables_number 1
_symmetry_space_group_name_Hall 'P 1'
_cell_length_a 6.150
_cell_length_b 6.150
_cell_length_c 6.150
_cell_angle_alpha 90.00
_cell_angle_beta 90.00
_cell_angle_gamma 90.00
loop_
_atom_site_label
_atom_site_type_symbol
_atom_site_fract_x
_atom_site_fract_y
_atom_site_fract_z
Sr1 Sr 0.000 0.500 0.000
Sr2 Sr 0.000 0.000 0.500
Sr3 Sr 0.500 0.000 0.000
Nb1 Nb 0.500 0.500 0.500
Cd1 Cd 0.000 0.000 0.000
```

energy above the lowest structure with this stoichiometry: 5.2 kJ/mol of atoms
spin magnetization: 0.86 μB/atom
ΔH_f (0 K): 0.838 eV/atom
final energy: -2.368 eV/atom
symmetry: Pm-3m, No. 221

---

[2]
Computed, not measured: an optimized crystal structure of Dy5HoEr12 at the PBE level of DFT.

Structure (CIF):
```
data_Dy5HoEr12
_chemical_formula_sum 'Dy5 Ho1 Er12'
_symmetry_space_group_name_H-M 'P 1'
_symmetry_Int_Tables_number 1
_symmetry_space_group_name_Hall 'P 1'
_cell_length_a 14.867
_cell_length_b 10.520
_cell_length_c 4.959
_cell_angle_alpha 90.00
_cell_angle_beta 90.00
_cell_angle_gamma 45.12
loop_
_atom_site_label
_atom_site_type_symbol
_atom_site_fract_x
_atom_site_fract_y
_atom_site_fract_z
Dy1 Dy 0.500 0.000 0.500
Dy2 Dy 0.167 0.667 0.500
Dy3 Dy 0.834 0.333 0.500
Dy4 Dy 0.667 0.666 0.000
Dy5 Dy 0.333 0.334 0.000
Ho1 Ho 0.000 0.000 0.000
Er1 Er 0.833 0.000 0.500
Er2 Er 0.167 0.000 0.500
Er3 Er 0.667 0.000 0.000
Er4 Er 0.333 0.000 0.000
Er5 Er 0.334 0.667 0.000
Er6 Er 0.999 0.667 0.000
Er7 Er 0.000 0.333 0.000
Er8 Er 0.667 0.333 0.000
Er9 Er 0.500 0.333 0.500
Er10 Er 0.834 0.667 0.500
Er11 Er 0.166 0.334 0.500
Er12 Er 0.500 0.666 0.500
```

spin magnetization: 0.00 μB/atom
ΔH_f (0 K): 0.022 eV/atom
final energy: -4.552 eV/atom
symmetry: P2/m, No. 10

---

[3]
Computed, not measured: an optimized crystal structure of TiGa2Pd4 at the PBE level of DFT.

Structure (CIF):
```
data_TiGa2Pd4
_chemical_formula_sum 'Ti1 Ga2 Pd4'
_symmetry_space_group_name_H-M 'P 1'
_symmetry_Int_Tables_number 1
_symmetry_space_group_name_Hall 'P 1'
_cell_length_a 4.740
_cell_length_b 4.740
_cell_length_c 7.103
_cell_angle_alpha 70.51
_cell_angle_beta 70.51
_cell_angle_gamma 90.00
loop_
_atom_site_label
_atom_site_type_symbol
_atom_site_fract_x
_atom_site_fract_y
_atom_site_fract_z
Ga1 Ga 0.387 0.387 0.226
Ga2 Ga 0.613 0.613 0.774
Pd1 Pd 0.187 0.187 0.626
Pd2 Pd 0.813 0.813 0.374
Pd3 Pd 0.000 0.500 0.000
Pd4 Pd 0.500 0.000 0.000
Ti1 Ti 0.000 0.000 0.000
```

energy above the lowest structure with this stoichiometry: 73.0 kJ/mol of atoms
spin magnetization: 0.00 μB/atom
ΔH_f (0 K): 0.206 eV/atom
final energy: -4.754 eV/atom
symmetry: I4/mmm, No. 139

---

[4]
Computed, not measured: an optimized crystal structure of Na3Mn2H9 at the PBE level of DFT.

Structure (CIF):
```
data_Na3Mn2H9
_chemical_formula_sum 'Na6 Mn4 H18'
_symmetry_space_group_name_H-M 'P 1'
_symmetry_Int_Tables_number 1
_symmetry_space_group_name_Hall 'P 1'
_cell_length_a 6.578
_cell_length_b 6.578
_cell_length_c 6.578
_cell_angle_alpha 82.57
_cell_angle_beta 82.57
_cell_angle_gamma 82.57
loop_
_atom_site_label
_atom_site_type_symbol
_atom_site_fract_x
_atom_site_fract_y
_atom_site_fract_z
Na1 Na 0.407 0.750 0.093
Na2 Na 0.250 0.907 0.593
Na3 Na 0.907 0.593 0.250
Na4 Na 0.093 0.407 0.750
Na5 Na 0.750 0.093 0.407
Na6 Na 0.593 0.250 0.907
Mn1 Mn 0.171 0.171 0.171
Mn2 Mn 0.671 0.671 0.671
Mn3 Mn 0.829 0.829 0.829
Mn4 Mn 0.329 0.329 0.329
H1 H 0.739 0.896 0.055
H2 H 0.104 0.945 0.261
H3 H 0.250 0.412 0.088
H4 H 0.604 0.761 0.445
H5 H 0.588 0.912 0.750
H6 H 0.912 0.750 0.588
H7 H 0.239 0.555 0.396
H8 H 0.555 0.396 0.239
H9 H 0.945 0.261 0.104
H10 H 0.055 0.739 0.896
H11 H 0.445 0.604 0.761
H12 H 0.412 0.088 0.250
H13 H 0.761 0.445 0.604
H14 H 0.088 0.250 0.412
H15 H 0.396 0.239 0.555
H16 H 0.750 0.588 0.912
H17 H 0.896 0.055 0.739
H18 H 0.261 0.104 0.945
```

spin magnetization: 0.14 μB/atom
final energy: -3.784 eV/atom
symmetry: R-3c, No. 167

---

[5]
Computed, not measured: an optimized crystal structure of Ba2CaMgCu at the PBE level of DFT.

Structure (CIF):
```
data_Ba2CaMgCu
_chemical_formula_sum 'Ba2 Ca1 Mg1 Cu1'
_symmetry_space_group_name_H-M 'P 1'
_symmetry_Int_Tables_number 1
_symmetry_space_group_name_Hall 'P 1'
_cell_length_a 6.214
_cell_length_b 6.214
_cell_length_c 5.662
_cell_angle_alpha 90.00
_cell_angle_beta 90.00
_cell_angle_gamma 90.00
loop_
_atom_site_label
_atom_site_type_symbol
_atom_site_fract_x
_atom_site_fract_y
_atom_site_fract_z
Mg1 Mg 0.500 0.500 0.500
Ca1 Ca 0.000 0.000 0.500
Ba1 Ba 0.000 0.500 0.000
Ba2 Ba 0.500 0.000 0.000
Cu1 Cu 0.000 0.000 0.000
```

energy above the lowest structure with this stoichiometry: 1.7 kJ/mol of atoms
spin magnetization: 0.00 μB/atom
ΔH_f (0 K): 0.075 eV/atom
final energy: -2.232 eV/atom
symmetry: P4/mmm, No. 123

---

[6]
Computed, not measured: an optimized crystal structure of Ca2Sc2Re at the PBE level of DFT.

Structure (CIF):
```
data_Ca2Sc2Re
_chemical_formula_sum 'Ca2 Sc2 Re1'
_symmetry_space_group_name_H-M 'P 1'
_symmetry_Int_Tables_number 1
_symmetry_space_group_name_Hall 'P 1'
_cell_length_a 3.819
_cell_length_b 3.819
_cell_length_c 9.995
_cell_angle_alpha 78.99
_cell_angle_beta 78.99
_cell_angle_gamma 90.00
loop_
_atom_site_label
_atom_site_type_symbol
_atom_site_fract_x
_atom_site_fract_y
_atom_site_fract_z
Sc1 Sc 0.750 0.250 0.500
Sc2 Sc 0.250 0.750 0.500
Re1 Re 0.000 0.000 0.000
Ca1 Ca 0.412 0.412 0.177
Ca2 Ca 0.588 0.588 0.823
```

energy above the lowest structure with this stoichiometry: 5.2 kJ/mol of atoms
spin magnetization: 0.41 μB/atom
ΔH_f (0 K): 1.007 eV/atom
final energy: -4.816 eV/atom
symmetry: I4/mmm, No. 139

---

[7]
Computed, not measured: an optimized crystal structure of Ac2Zn2Cd at the PBE level of DFT.

Structure (CIF):
```
data_Ac2Zn2Cd
_chemical_formula_sum 'Ac8 Zn8 Cd4'
_symmetry_space_group_name_H-M 'P 1'
_symmetry_Int_Tables_number 1
_symmetry_space_group_name_Hall 'P 1'
_cell_length_a 7.714
_cell_length_b 7.714
_cell_length_c 9.611
_cell_angle_alpha 90.00
_cell_angle_beta 90.00
_cell_angle_gamma 90.00
loop_
_atom_site_label
_atom_site_type_symbol
_atom_site_fract_x
_atom_site_fract_y
_atom_site_fract_z
Ac1 Ac 0.675 0.825 0.500
Ac2 Ac 0.325 0.175 0.500
Ac3 Ac 0.825 0.325 0.000
Ac4 Ac 0.175 0.675 0.000
Ac5 Ac 0.825 0.325 0.500
Ac6 Ac 0.175 0.675 0.500
Ac7 Ac 0.325 0.175 0.000
Ac8 Ac 0.675 0.825 0.000
Zn1 Zn 0.377 0.877 0.250
Zn2 Zn 0.623 0.123 0.250
Zn3 Zn 0.123 0.377 0.750
Zn4 Zn 0.877 0.623 0.750
Zn5 Zn 0.877 0.623 0.250
Zn6 Zn 0.123 0.377 0.250
Zn7 Zn 0.377 0.877 0.750
Zn8 Zn 0.623 0.123 0.750
Cd1 Cd 0.500 0.500 0.250
Cd2 Cd 0.000 0.000 0.750
Cd3 Cd 0.500 0.500 0.750
Cd4 Cd 0.000 0.000 0.250
```

energy above the lowest structure with this stoichiometry: 0.0 kJ/mol of atoms
spin magnetization: 0.00 μB/atom
ΔH_f (0 K): -0.262 eV/atom
final energy: -2.598 eV/atom
symmetry: P4/mbm, No. 127

---

[8]
Computed, not measured: an optimized crystal structure of K2ScGaO4 at the PBE level of DFT.

Structure (CIF):
```
data_K2ScGaO4
_chemical_formula_sum 'K2 Sc1 Ga1 O4'
_symmetry_space_group_name_H-M 'P 1'
_symmetry_Int_Tables_number 1
_symmetry_space_group_name_Hall 'P 1'
_cell_length_a 5.821
_cell_length_b 5.821
_cell_length_c 5.821
_cell_angle_alpha 88.70
_cell_angle_beta 120.75
_cell_angle_gamma 120.75
loop_
_atom_site_label
_atom_site_type_symbol
_atom_site_fract_x
_atom_site_fract_y
_atom_site_fract_z
K1 K 0.500 0.750 0.250
K2 K 0.000 0.000 0.000
Sc1 Sc 0.500 0.250 0.750
Ga1 Ga 0.000 0.500 0.500
O1 O 0.628 0.382 0.489
O2 O 0.107 0.246 0.618
O3 O 0.893 0.511 0.138
O4 O 0.372 0.862 0.754
```

spin magnetization: 0.00 μB/atom
final energy: -6.205 eV/atom
symmetry: I-4, No. 82

---

[9]
Computed, not measured: an optimized crystal structure of AlCdSe2 at the PBE level of DFT.

Structure (CIF):
```
data_AlCdSe2
_chemical_formula_sum 'Al1 Cd1 Se2'
_symmetry_space_group_name_H-M 'P 1'
_symmetry_Int_Tables_number 1
_symmetry_space_group_name_Hall 'P 1'
_cell_length_a 5.343
_cell_length_b 4.212
_cell_length_c 4.219
_cell_angle_alpha 81.30
_cell_angle_beta 90.00
_cell_angle_gamma 90.00
loop_
_atom_site_label
_atom_site_type_symbol
_atom_site_fract_x
_atom_site_fract_y
_atom_site_fract_z
Al1 Al 0.000 0.343 0.341
Se1 Se 0.000 0.941 0.941
Se2 Se 0.500 0.397 0.397
Cd1 Cd 0.500 0.820 0.820
```

energy above the lowest structure with this stoichiometry: 6.2 kJ/mol of atoms
spin magnetization: 0.00 μB/atom
final energy: -3.368 eV/atom
symmetry: Amm2, No. 38

---

[10]
Computed, not measured: an optimized crystal structure of Na2Ag2Au at the PBE level of DFT.

Structure (CIF):
```
data_Na2Ag2Au
_chemical_formula_sum 'Na4 Ag4 Au2'
_symmetry_space_group_name_H-M 'P 1'
_symmetry_Int_Tables_number 1
_symmetry_space_group_name_Hall 'P 1'
_cell_length_a 5.428
_cell_length_b 5.547
_cell_length_c 8.045
_cell_angle_alpha 110.17
_cell_angle_beta 109.72
_cell_angle_gamma 90.00
loop_
_atom_site_label
_atom_site_type_symbol
_atom_site_fract_x
_atom_site_fract_y
_atom_site_fract_z
Na1 Na 0.107 0.993 0.215
Na2 Na 0.893 0.007 0.785
Na3 Na 0.393 0.778 0.785
Na4 Na 0.607 0.222 0.215
Ag1 Ag 0.688 0.795 0.377
Ag2 Ag 0.312 0.205 0.623
Ag3 Ag 0.812 0.418 0.623
Ag4 Ag 0.188 0.582 0.377
Au1 Au 0.250 0.500 0.000
Au2 Au 0.750 0.500 0.000
```

energy above the lowest structure with this stoichiometry: 6.6 kJ/mol of atoms
spin magnetization: 0.00 μB/atom
ΔH_f (0 K): -0.043 eV/atom
final energy: -2.366 eV/atom
symmetry: Ibam, No. 72

---

[11]
Computed, not measured: an optimized crystal structure of CoPtCl2 at the PBE level of DFT.

Structure (CIF):
```
data_CoPtCl2
_chemical_formula_sum 'Co1 Pt1 Cl2'
_symmetry_space_group_name_H-M 'P 1'
_symmetry_Int_Tables_number 1
_symmetry_space_group_name_Hall 'P 1'
_cell_length_a 7.740
_cell_length_b 7.740
_cell_length_c 7.740
_cell_angle_alpha 24.66
_cell_angle_beta 24.66
_cell_angle_gamma 24.66
loop_
_atom_site_label
_atom_site_type_symbol
_atom_site_fract_x
_atom_site_fract_y
_atom_site_fract_z
Co1 Co 0.500 0.500 0.500
Pt1 Pt 0.000 0.000 0.000
Cl1 Cl 0.897 0.897 0.897
Cl2 Cl 0.103 0.103 0.103
```

energy above the lowest structure with this stoichiometry: 15.0 kJ/mol of atoms
spin magnetization: 0.56 μB/atom
final energy: -4.146 eV/atom
symmetry: R-3m, No. 166

---

[12]
Computed, not measured: an optimized crystal structure of CeEuGd2 at the PBE level of DFT.

Structure (CIF):
```
data_CeEuGd2
_chemical_formula_sum 'Ce1 Eu1 Gd2'
_symmetry_space_group_name_H-M 'P 1'
_symmetry_Int_Tables_number 1
_symmetry_space_group_name_Hall 'P 1'
_cell_length_a 3.463
_cell_length_b 3.463
_cell_length_c 12.832
_cell_angle_alpha 82.24
_cell_angle_beta 82.24
_cell_angle_gamma 60.00
loop_
_atom_site_label
_atom_site_type_symbol
_atom_site_fract_x
_atom_site_fract_y
_atom_site_fract_z
Eu1 Eu 0.000 0.000 0.000
Gd1 Gd 0.584 0.584 0.247
Gd2 Gd 0.416 0.416 0.753
Ce1 Ce 0.500 0.500 0.500
```

energy above the lowest structure with this stoichiometry: 9.6 kJ/mol of atoms
spin magnetization: 1.77 μB/atom
ΔH_f (0 K): 0.252 eV/atom
final energy: -10.841 eV/atom
symmetry: R-3m, No. 166

---

Which value of spin magnetization does entry 9 give? 0.00 μB/atom